GaRePbO6 after structural relaxation, computed with PBE.

Results
Size of the total moment ... 0.00 μB per formula unit
Raw formation energy ... -1525 meV/atom
Uncorrected energy ... -62.66 eV/cell

a b c (Å): 5.2421 5.2421 5.3152
angles (deg): 90.00 90.00 120.00
Closest atoms and distances in Å follow each position.
Space group P3 (No. 143)
Inequivalent atoms, fractional coordinates:
Ga (0.0000, 0.0000, 0.0000) [1 per cell]  6 O 2.00
Re (0.3333, 0.6667, 0.0014) [1 per cell]  6 O 1.90-1.91
Pb (0.6667, 0.3333, 0.5017) [1 per cell]  6 O 2.56-2.57
O (0.0601, 0.3470, 0.2045) [3 per cell]  1 Re 1.90, 1 Ga 2.00
O (0.0601, 0.7128, 0.7969) [3 per cell]  1 Re 1.91, 1 Ga 2.00

=====

LaY4Ho2Sc after structural relaxation, computed with PBE.

Results
Size of the total moment ... 2.22 μB per formula unit
Uncorrected energy ... -171.38 eV/cell

a b c (Å): 6.7713 11.6894 13.0972
angles (deg): 90.00 90.00 90.00
Closest atoms and distances in Å follow each position.
Space group Imma (No. 74)
Inequivalent atoms, fractional coordinates:
La (0.0000, 0.0000, 0.0000) [4 per cell]  6 Y 3.29-3.39, 2 Ho 3.39
Y (0.0000, 0.0108, 0.2509) [8 per cell]  3 Ho 3.27-3.49, 2 Sc 3.27, 1 La 3.29, 2 Y 3.39
Y (0.2478, 0.2500, 0.4907) [8 per cell]  1 Sc 3.15, 2 Y 3.36-3.42, 3 Ho 3.37-3.40, 2 La 3.39
Ho (0.0000, 0.0000, 0.5000) [4 per cell]  6 Y 3.27-3.37, 2 La 3.39
Ho (0.2500, 0.2500, 0.7500) [4 per cell]  2 Ho 3.39, 6 Y 3.40-3.49
Sc (0.2500, 0.2500, 0.2500) [4 per cell]  6 Y 3.15-3.27, 2 Sc 3.39

=====

CrGaAs after structural relaxation, computed with PBE.

Results
Size of the total moment ... 0.00 μB per formula unit
Polymorph energy (0 for the lowest one) ... 106 meV/atom
Uncorrected energy ... -34.67 eV/cell

a b c (Å): 3.2204 3.2204 8.2351
angles (deg): 90.00 90.00 90.00
Closest atoms and distances in Å follow each position.
Space group P4/nmm (No. 129, origin choice 2)
Inequivalent atoms, fractional coordinates:
Cr (0.2500, 0.2500, 0.2320) [2 per cell]  5 As 2.51-2.76, 4 Ga 2.75
Ga (0.2500, 0.2500, 0.5808) [2 per cell]  1 As 2.60, 4 Ga 2.64, 5 Cr 2.75-2.87
As (0.2500, 0.2500, 0.8968) [2 per cell]  5 Cr 2.51-2.76, 1 Ga 2.60

=====

Mn2B2Ru after structural relaxation, computed with PBE.

Results
Size of the total moment ... 4.25 μB per formula unit
Polymorph energy (0 for the lowest one) ... 306 meV/atom
Uncorrected energy ... -81.54 eV/cell

a b c (Å): 3.3244 3.3244 8.9443
angles (deg): 90.00 90.00 90.00
Closest atoms and distances in Å follow each position.
Space group I4/mmm (No. 139)
Inequivalent atoms, fractional coordinates:
Mn (0.0000, 0.5000, 0.2500) [4 per cell]  4 B 2.15, 4 Mn 2.35
B (0.0000, 0.0000, 0.0973) [4 per cell]  1 B 1.74
Ru (0.0000, 0.0000, 0.5000) [2 per cell]  8 B 2.51, 8 Mn 2.79

=====

PuZn9Pd2 after structural relaxation, computed with PBE.

Results
Size of the total moment ... 5.53 μB per formula unit
Polymorph energy (0 for the lowest one) ... 45 meV/atom
Uncorrected energy ... -39.09 eV/cell

a b c (Å): 8.8919 8.8919 2.8217
angles (deg): 90.00 90.00 120.00
Closest atoms and distances in Å follow each position.
Space group P6/mmm (No. 191)
Inequivalent atoms, fractional coordinates:
Pu (0.0000, 0.0000, 0.0000) [1 per cell]  2 Pu 2.82, 12 Zn 3.15
Zn (0.0000, 0.5000, 0.0000) [3 per cell]  2 Pd 2.57, 10 Zn 2.82-2.83
Zn (0.1825, 0.3650, 0.5000) [6 per cell]  2 Pd 2.72, 8 Zn 2.81-2.83
Pd (0.3333, 0.6667, 0.0000) [2 per cell]  9 Zn 2.57-2.72, 2 Pd 2.82

=====

CeUFe2 after structural relaxation, computed with PBE.

Results
Size of the total moment ... 0.00 μB per formula unit
Uncorrected energy ... -137.17 eV/cell

a b c (Å): 7.0192 6.0041 7.0786
angles (deg): 90.00 90.00 90.00
Closest atoms and distances in Å follow each position.
Space group Pnma (No. 62)
Inequivalent atoms, fractional coordinates:
Ce (0.0083, 0.2500, 0.1773) [4 per cell]  8 Fe 2.92-3.10, 1 U 3.19
U (0.1910, 0.2500, 0.6462) [4 per cell]  2 Fe 2.17
Fe (0.1774, 0.5450, 0.4695) [8 per cell]  1 U 2.17